Here is crystalline Be2Si at its relaxed geometry from the Alexandria database. Energies are from GGA-PBE.

Cell and atoms, written as CIF:
```
data_Be2Si
_chemical_formula_sum 'Be4 Si2'
_cell_length_a 3.8032
_cell_length_b 3.8032
_cell_length_c 5.1768
_cell_angle_alpha 90.00
_cell_angle_beta 90.00
_cell_angle_gamma 120.00
_symmetry_space_group_name_H-M 'P 63/m m c'
_symmetry_Int_Tables_number 194
_symmetry_space_group_name_Hall '-P 6c 2c'
loop_
_atom_site_label
_atom_site_type_symbol
_atom_site_fract_x
_atom_site_fract_y
_atom_site_fract_z
Be1 Be 0.0000 0.0000 0.0000
Be2 Be 0.3333 0.6667 0.2500
Si1 Si 0.3333 0.6667 0.7500
```

offset from the most stable computed form = 309 meV/atom
total DFT energy (no corrections) = -3.8472 eV per atom
DOS at the Fermi energy = 2.405 states/eV/cell
ρ = 2.36 g/cm³
energy relative to the elements, uncorrected = 445 meV per atom